Record 1
DFT (GGA-PBE) results for KSb2Pt2 after structural relaxation.

Calculated values
* crystal system: tetragonal
* SG: No. 127
* D(E_F): 2.0 states/eV/f.u.
* calculated volume: 227 Å³ per cell
* E: -4.51 eV/atom

a b c (Å): 8.424 8.424 3.199
angles (deg): 90.00 90.00 90.00
Atoms (fractional coordinates):
K 0.000 0.000 0.000
K 0.500 0.500 0.000
Sb 0.150 0.350 0.500
Sb 0.350 0.850 0.500
Sb 0.650 0.150 0.500
Sb 0.850 0.650 0.500
Pt 0.130 0.630 0.000
Pt 0.370 0.130 0.000
Pt 0.630 0.870 0.000
Pt 0.870 0.370 0.000

***

Record 2
DFT (GGA-PBE) results for Rb2SmZn2Te4 after structural relaxation.

Calculated values
* crystal system: monoclinic
* SG: No. 12
* D(E_F): 3.9 states/eV/f.u.
* calculated volume: 319 Å³ per cell
* E: -3.29 eV/atom

a b c (Å): 8.638 8.638 8.565
angles (deg): 108.28 108.28 31.90
Atoms (fractional coordinates):
Rb 0.132 0.132 0.064
Rb 0.868 0.868 0.936
Sm 0.000 0.000 0.500
Zn 0.326 0.326 0.505
Zn 0.674 0.674 0.495
Te 0.202 0.202 0.667
Te 0.484 0.484 0.738
Te 0.516 0.516 0.262
Te 0.798 0.798 0.333

***

The lowest D(E_F) belongs to which entry?
KSb2Pt2

***

Which of these has the highest D(E_F)?
Rb2SmZn2Te4

***

Which formula does entry 2 have?
Rb2SmZn2Te4

***

What is the formula in the first record?
KSb2Pt2